Here is crystalline Rb2PS2F4 at its relaxed geometry from Alexandria. Energies are from GGA-PBE.

Values from the calculation:
Formation energy (no corrections) in eV/atom: -1.783
Symmetry: I4/mmm
M_tot in μB/atom: 0.115

a = 6.505 Å, b = 6.505 Å, c = 6.505 Å
α = 94.68°, β = 117.34°, γ = 117.34°
Each line ends with the local moment (μB).
Atoms (fractional coordinates):
F 0.000 0.821 0.179  0.02
Rb 0.500 0.250 0.750  0.01
P 0.000 0.000 0.000  -0.01
S 0.000 0.757 0.757  0.27
Rb 0.500 0.750 0.250  0.01
F 0.000 0.179 0.821  0.02
F 0.641 0.821 0.821  0.02
S 0.000 0.243 0.243  0.27
F 0.359 0.179 0.179  0.02